# CdP3 PBE relaxed
# distance to the lowest polymorph of the same formula: 361.2 meV/atom
# DOS(E_F): 7.50 states/eV/cell
data_CdP3
_chemical_formula_sum 'Cd4 P12'
_symmetry_space_group_name_H-M 'P 63/m m c'
_symmetry_Int_Tables_number 194
_symmetry_space_group_name_Hall '-P 6c 2c'
_cell_length_a 7.2192
_cell_length_b 7.2192
_cell_length_c 6.3120
_cell_angle_alpha 90.00
_cell_angle_beta 90.00
_cell_angle_gamma 120.00
loop_
_atom_site_label
_atom_site_type_symbol
_atom_site_fract_x
_atom_site_fract_y
_atom_site_fract_z
Cd1 Cd 0.0000 0.0000 0.0000
Cd2 Cd 0.3333 0.6667 0.2500
P1 P 0.0000 0.5000 0.0000
P2 P 0.1864 0.3728 0.7500

# CePu2Au6 PBE relaxed
# E_tot: -59.20 eV/cell
# DOS(E_F): 26.93 states/eV/cell
data_CePu2Au6
_chemical_formula_sum 'Ce1 Pu2 Au6'
_symmetry_space_group_name_H-M 'P 6/m m m'
_symmetry_Int_Tables_number 191
_symmetry_space_group_name_Hall '-P 6 2'
_cell_length_a 8.4541
_cell_length_b 8.4541
_cell_length_c 3.1970
_cell_angle_alpha 90.00
_cell_angle_beta 90.00
_cell_angle_gamma 120.00
loop_
_atom_site_label
_atom_site_type_symbol
_atom_site_fract_x
_atom_site_fract_y
_atom_site_fract_z
Ce1 Ce 0.0000 0.0000 0.0000
Pu1 Pu 0.3333 0.6667 0.0000
Au1 Au 0.0000 0.3340 0.5000

# CoIr2Rh PBE relaxed
# distance to the lowest polymorph of the same formula: 377.4 meV/atom
# DOS(E_F): 36.73 states/eV/cell
data_CoIr2Rh
_chemical_formula_sum 'Co4 Ir8 Rh4'
_symmetry_space_group_name_H-M 'F m -3 m'
_symmetry_Int_Tables_number 225
_symmetry_space_group_name_Hall '-F 4 2 3'
_cell_length_a 6.075
_cell_length_b 6.075
_cell_length_c 6.075
_cell_angle_alpha 90.00
_cell_angle_beta 90.00
_cell_angle_gamma 90.00
loop_
_atom_site_label
_atom_site_type_symbol
_atom_site_fract_x
_atom_site_fract_y
_atom_site_fract_z
Co1 Co 0.000 0.000 0.000
Ir1 Ir 0.250 0.250 0.250
Rh1 Rh 0.000 0.000 0.500

# NaHgN2 PBE relaxed
# energy relative to the elements, uncorrected: 5.8 eV per formula unit
# DOS(E_F): 7.69 states/eV/cell
data_NaHgN2
_chemical_formula_sum 'Na3 Hg3 N6'
_symmetry_space_group_name_H-M 'R -3 m'
_symmetry_Int_Tables_number 166
_symmetry_space_group_name_Hall '-R 3 2"'
_cell_length_a 3.4738
_cell_length_b 3.4738
_cell_length_c 19.7671
_cell_angle_alpha 90.00
_cell_angle_beta 90.00
_cell_angle_gamma 120.00
loop_
_atom_site_label
_atom_site_type_symbol
_atom_site_fract_x
_atom_site_fract_y
_atom_site_fract_z
Na1 Na 0.0000 0.0000 0.0000
Hg1 Hg 0.0000 0.0000 0.5000
N1 N 0.0000 0.0000 0.1147

# Tb2TeO PBE relaxed
# energy relative to the elements, uncorrected: -7.8 eV per formula unit
# distance to the lowest polymorph of the same formula: 0.0 meV/atom
# DOS(E_F): 6.02 states/eV/cell
data_Tb2TeO
_chemical_formula_sum 'Tb8 Te4 O4'
_symmetry_space_group_name_H-M 'P 1 21/c 1'
_symmetry_Int_Tables_number 14
_cell_length_a 8.040
_cell_length_b 6.608
_cell_length_c 6.801
_cell_angle_alpha 90.00
_cell_angle_beta 93.03
_cell_angle_gamma 90.00
loop_
_symmetry_equiv_pos_as_xyz
'x,y,z'
'-x,-y,-z'
'-x,y+1/2,-z+1/2'
'x,-y+1/2,z+1/2'
loop_
_atom_site_label
_atom_site_type_symbol
_atom_site_fract_x
_atom_site_fract_y
_atom_site_fract_z
Tb1 Tb 0.060 0.172 0.346
Tb2 Tb 0.304 0.643 0.552
Te1 Te 0.362 0.125 0.681
O1 O 0.129 0.664 0.852

# Rb2TlZnAu PBE relaxed
# E_tot: -8.72 eV/cell
# DOS(E_F): 4.09 states/eV/cell
data_Rb2TlZnAu
_chemical_formula_sum 'Rb2 Tl1 Zn1 Au1'
_symmetry_space_group_name_H-M 'P 4/m m m'
_symmetry_Int_Tables_number 123
_symmetry_space_group_name_Hall '-P 4 2'
_cell_length_a 6.585
_cell_length_b 6.585
_cell_length_c 5.026
_cell_angle_alpha 90.00
_cell_angle_beta 90.00
_cell_angle_gamma 90.00
loop_
_atom_site_label
_atom_site_type_symbol
_atom_site_fract_x
_atom_site_fract_y
_atom_site_fract_z
Rb1 Rb 0.000 0.500 0.000
Tl1 Tl 0.000 0.000 0.500
Zn1 Zn 0.500 0.500 0.500
Au1 Au 0.500 0.500 0.000